Entry from the Alexandria database: crystalline Y5Ho8Mg at its relaxed geometry (GGA-PBE).

Results
magnetic moment = 0.00 μB per formula unit
uncorrected energy = -67.11 eV per cell
space group = I-4

Cell lengths 8.3925, 8.3925, 8.3925 Å; angles 110.37, 110.37, 107.68 degrees
Closest atoms and distances in Å follow each position.
Fractional positions:
Y1 0.0000 0.0000 0.0000  8 Ho 3.13-3.34
Y2 0.3126 0.6256 0.1011  8 Ho 3.32-3.58, 2 Y 3.54
Y3 0.3744 0.4755 0.6870  8 Ho 3.32-3.58, 2 Y 3.54
Y4 0.5245 0.2115 0.8989  8 Ho 3.32-3.58, 2 Y 3.54
Y5 0.7885 0.6874 0.3130  8 Ho 3.32-3.58, 2 Y 3.54
Ho1 0.0229 0.4191 0.2608  5 Y 3.34-3.58, 4 Ho 3.53-3.64
Ho2 0.0653 0.1554 0.7261  5 Y 3.13-3.49, 1 Mg 3.17
Ho3 0.1583 0.7621 0.7392  5 Y 3.34-3.58, 4 Ho 3.53-3.64
Ho4 0.2379 0.9771 0.3962  5 Y 3.34-3.58, 4 Ho 3.53-3.64
Ho5 0.4292 0.3392 0.2739  5 Y 3.13-3.49, 1 Mg 3.17
Ho6 0.5809 0.8417 0.6038  5 Y 3.34-3.58, 4 Ho 3.53-3.64
Ho7 0.6608 0.9347 0.0901  5 Y 3.13-3.49, 1 Mg 3.17
Ho8 0.8446 0.5708 0.9099  5 Y 3.13-3.49, 1 Mg 3.17
Mg1 0.7500 0.2500 0.5000  4 Ho 3.17



Entry from the Alexandria database: crystalline MgP2PbO8 at its relaxed geometry (GGA-PBE).

Results
magnetic moment = 2.05 μB per formula unit
uncorrected energy = -78.70 eV per cell
raw formation energy = -1.910 eV per atom
space group = P-3m1

Cell lengths 5.2755, 5.2755, 7.1044 Å; angles 90.00, 90.00, 120.00 degrees
Closest atoms and distances in Å follow each position.
Fractional positions:
Mg1 0.0000 0.0000 0.0000  6 O 2.05
P1 0.3333 0.6667 0.2529  4 O 1.54-1.55
P2 0.6667 0.3333 0.7471  4 O 1.54-1.55
Pb1 0.0000 0.0000 0.5000  12 O 2.75-3.05
O1 0.1735 0.3470 0.1837  1 P 1.54
O2 0.1735 0.8265 0.1837  1 P 1.54
O3 0.3333 0.6667 0.4714  1 P 1.55
O4 0.3470 0.1735 0.8163  1 P 1.54
O5 0.6530 0.8265 0.1837  1 P 1.54
O6 0.6667 0.3333 0.5286  1 P 1.55
O7 0.8265 0.1735 0.8163  1 P 1.54
O8 0.8265 0.6530 0.8163  1 P 1.54